w | # DyCd4Hg

Crystalline DyCd4Hg at its relaxed geometry (PBE, Alexandria).

The space group is P6/mmm (No. 191) and the conventional cell measures 5.0188, 5.0188 and 6.5128 Å, with angles of 90.00, 90.00 and 120.00 degrees. Symmetry generates all atoms from Dy at (0.0000, 0.0000, 0.0000), Cd at (0.3333, 0.6667, 0.2442) and Hg at (0.0000, 0.0000, 0.5000).



x | # DyCd4Hg

Crystalline DyCd4Hg at its relaxed geometry (PBE, Alexandria).

The space group is F-43m (No. 216) and the conventional cell measures 8.353, 8.353 and 8.353 Å, with angles of 90.00, 90.00 and 90.00 degrees. Symmetry generates all atoms from Dy at (0.000, 0.000, 0.000), Cd at (0.126, 0.126, 0.374) and Hg at (0.250, 0.250, 0.750).



Stability summary - winner: w; margin: 12.5 kJ/mol of atoms.



w | # DyCdInHg

Crystalline DyCdInHg at its relaxed geometry (PBE, Alexandria).

The space group is F-43m (No. 216) and the conventional cell measures 7.296, 7.296 and 7.296 Å, with angles of 90.00, 90.00 and 90.00 degrees. Symmetry generates all atoms from Dy at (0.000, 0.000, 0.000), Cd at (0.000, 0.000, 0.500), In at (0.250, 0.250, 0.750) and Hg at (0.250, 0.250, 0.250).



x | # DyCdInHg

Crystalline DyCdInHg at its relaxed geometry (PBE, Alexandria).

The space group is Pmmm (No. 47) and the conventional cell measures 4.303, 4.750 and 4.754 Å, with angles of 90.00, 90.00 and 90.00 degrees. Symmetry generates all atoms from Dy at (0.000, 0.000, 0.000), Cd at (0.000, 0.500, 0.500), In at (0.500, 0.500, 0.000) and Hg at (0.500, 0.000, 0.500).



Stability summary - winner: x; margin: 3.9 kJ/mol of atoms.



w | # DyCdHgPb

Crystalline DyCdHgPb at its relaxed geometry (PBE, Alexandria).

The space group is F-43m (No. 216) and the conventional cell measures 7.448, 7.448 and 7.448 Å, with angles of 90.00, 90.00 and 90.00 degrees. Symmetry generates all atoms from Dy at (0.000, 0.000, 0.000), Cd at (0.000, 0.000, 0.500), Hg at (0.250, 0.250, 0.750) and Pb at (0.250, 0.250, 0.250).



x | # DyCdHgPb

Crystalline DyCdHgPb at its relaxed geometry (PBE, Alexandria).

The space group is Pmmm (No. 47) and the conventional cell measures 4.426, 4.655 and 4.901 Å, with angles of 90.00, 90.00 and 90.00 degrees. Symmetry generates all atoms from Dy at (0.000, 0.000, 0.000), Cd at (0.000, 0.500, 0.500), Hg at (0.500, 0.000, 0.500) and Pb at (0.500, 0.500, 0.000).



Stability summary - winner: x; margin: 13.0 kJ/mol of atoms.



w | # DyCdSnHg

Crystalline DyCdSnHg at its relaxed geometry (PBE, Alexandria).

The space group is Pmmm (No. 47) and the conventional cell measures 4.376, 4.562 and 4.863 Å, with angles of 90.00, 90.00 and 90.00 degrees. Symmetry generates all atoms from Dy at (0.000, 0.000, 0.000), Cd at (0.000, 0.500, 0.500), Sn at (0.500, 0.500, 0.000) and Hg at (0.500, 0.000, 0.500).



x | # DyCdSnHg

Crystalline DyCdSnHg at its relaxed geometry (PBE, Alexandria).

The space group is F-43m (No. 216) and the conventional cell measures 7.368, 7.368 and 7.368 Å, with angles of 90.00, 90.00 and 90.00 degrees. Symmetry generates all atoms from Dy at (0.000, 0.000, 0.000), Cd at (0.000, 0.000, 0.500), Sn at (0.250, 0.250, 0.250) and Hg at (0.250, 0.250, 0.750).



Stability summary - winner: w; margin: 15.4 kJ/mol of atoms.



w | # SrDyCdHg

Crystalline SrDyCdHg at its relaxed geometry (PBE, Alexandria).

The space group is P4mm (No. 99) and the conventional cell measures 3.867, 3.867 and 7.758 Å, with angles of 90.00, 90.00 and 90.00 degrees. Symmetry generates all atoms from Sr at (0.000, 0.000, 0.000), Dy at (0.000, 0.000, 0.509), Cd at (0.500, 0.500, 0.284) and Hg at (0.500, 0.500, 0.720).



x | # SrDyCdHg

Crystalline SrDyCdHg at its relaxed geometry (PBE, Alexandria).

The space group is F-43m (No. 216) and the conventional cell measures 7.729, 7.729 and 7.729 Å, with angles of 90.00, 90.00 and 90.00 degrees. Symmetry generates all atoms from Sr at (0.000, 0.000, 0.000), Dy at (0.000, 0.000, 0.500), Cd at (0.250, 0.250, 0.750) and Hg at (0.250, 0.250, 0.250).



Stability summary - winner: w; margin: 5.1 kJ/mol of atoms.



w | # Dy6Ho3Cd

Crystalline Dy6Ho3Cd at its relaxed geometry (PBE, Alexandria).

The space group is Cmc2_1 (No. 36) and the conventional cell measures 9.537, 13.976 and 9.214 Å, with angles of 90.00, 90.00 and 90.00 degrees. Symmetry generates all atoms from Dy at (0.000, 0.068, 0.000), Dy at (0.000, 0.303, 0.881), Dy at (0.176, 0.349, 0.474), Dy at (0.202, 0.080, 0.315), Ho at (0.000, 0.474, 0.164), Ho at (0.178, 0.144, 0.661) and Cd at (0.000, 0.250, 0.215).



x | # Dy6Ho3Cd

Crystalline Dy6Ho3Cd at its relaxed geometry (PBE, Alexandria).

The space group is P2_1/m (No. 11) and the conventional cell measures 10.935, 4.982 and 11.129 Å, with angles of 90.00, 91.33 and 90.00 degrees. Symmetry generates all atoms from Dy at (0.047, 0.250, 0.397), Dy at (0.139, 0.750, 0.186), Dy at (0.152, 0.250, 0.692), Dy at (0.237, 0.250, 0.995), Dy at (0.347, 0.750, 0.799), Dy at (0.449, 0.250, 0.602), Ho at (0.248, 0.750, 0.493), Ho at (0.347, 0.250, 0.293), Ho at (0.448, 0.750, 0.099) and Cd at (0.052, 0.750, 0.894).



Stability summary - winner: x; margin: 9.4 kJ/mol of atoms.



w | # Dy12Ho6Cd

Crystalline Dy12Ho6Cd at its relaxed geometry (PBE, Alexandria).

The space group is R-3m (No. 166, hexagonal axes) and the conventional cell measures 12.7992, 12.7992 and 12.8002 Å, with angles of 90.00, 90.00 and 120.00 degrees. Symmetry generates all atoms from Dy at (0.0000, 0.2603, 0.0000), Dy at (0.0569, 0.5285, 0.1120), Ho at (0.0907, 0.1813, 0.7735) and Cd at (0.0000, 0.0000, 0.0000).



x | # Dy12Ho6Cd

Crystalline Dy12Ho6Cd at its relaxed geometry (PBE, Alexandria).

The space group is R-3 (No. 148, hexagonal axes) and the conventional cell measures 11.7883, 11.7883 and 14.8781 Å, with angles of 90.00, 90.00 and 120.00 degrees. Symmetry generates all atoms from Dy at (0.0070, 0.1779, 0.3141), Dy at (0.0467, 0.8498, 0.9153), Ho at (0.0210, 0.4288, 0.1897) and Cd at (0.0000, 0.0000, 0.5000).



Stability summary - winner: x; margin: 1.5 kJ/mol of atoms.



w | # DyHo4Cd

Crystalline DyHo4Cd at its relaxed geometry (PBE, Alexandria).

The space group is P4/mmm (No. 123) and the conventional cell measures 3.542, 3.542 and 14.094 Å, with angles of 90.00, 90.00 and 90.00 degrees. Symmetry generates all atoms from Dy at (0.000, 0.000, 0.000), Ho at (0.000, 0.000, 0.353), Ho at (0.500, 0.500, 0.177) and Cd at (0.500, 0.500, 0.500).



x | # DyHo4Cd

Crystalline DyHo4Cd at its relaxed geometry (PBE, Alexandria).

The space group is C2/m (No. 12) and the conventional cell measures 7.443, 7.443 and 7.362 Å, with angles of 90.00, 90.08 and 90.00 degrees. Symmetry generates all atoms from Dy at (0.000, 0.000, 0.000), Ho at (0.250, 0.250, 0.259) and Cd at (0.000, 0.500, 0.500).



Stability summary - winner: w; margin: 49.9 kJ/mol of atoms.